(1)
BeHg2Cl | PBE | relaxed

Cell and atoms, written as POSCAR:
```
BeHg2Cl
1.0
6.073 0.000 0.000
0.000 3.167 0.000
-1.389 0.000 6.095
Be Hg Cl
1 2 1
direct
0.000 0.000 0.000
0.191 0.000 0.700
0.266 0.500 0.290
0.775 0.500 0.974
```

Calculated values
* formation energy from raw total energies: -0.200 eV/atom
* crystal system: monoclinic
* energy: -1.745 eV/atom



(2)
Mg5Si6 | PBE | relaxed

Cell and atoms, written as POSCAR:
```
Mg5Si6
1.0
5.440 0.000 0.000
-1.013 5.953 0.000
-0.125 -2.053 12.836
Mg Si
10 12
direct
0.000 0.000 0.000
0.005 0.875 0.595
0.029 0.632 0.804
0.083 0.732 0.173
0.123 0.350 0.538
0.441 0.067 0.354
0.537 0.696 0.711
0.543 0.564 0.283
0.840 0.144 0.796
0.942 0.222 0.224
0.054 0.615 0.377
0.314 0.275 0.718
0.338 0.025 0.840
0.411 0.161 0.146
0.434 0.756 0.498
0.538 0.283 0.988
0.578 0.652 0.944
0.597 0.146 0.589
0.605 0.824 0.126
0.677 0.457 0.480
0.929 0.978 0.387
0.972 0.456 0.983
```

Calculated values
* formation energy from raw total energies: 0.089 eV/atom
* crystal system: triclinic
* energy: -3.594 eV/atom